Here is a relaxed structure of La5IrRu from Alexandria. Energies are from PBE.

Its space group is C2/c, No. 15. For the formation energy, the calculation gives -0.27 eV per atom. The calculation puts the volume at 33.470 A^3/atom. The value obtained for the raw total energy is -6.380 eV per atom.

Lattice parameters (Å, degrees): 6.8912 6.8912 10.6302 104.61 104.61 79.25
Fractional coordinates of all 14 atoms:
La  0.7719  0.9459  0.1558
La  0.8715  0.2749  0.4917
La  0.4459  0.2719  0.6558
La  0.2548  0.2452  0.2500
La  0.2250  0.6285  0.0083
La  0.7750  0.3715  0.9917
La  0.7452  0.7548  0.7500
La  0.5541  0.7281  0.3442
La  0.1285  0.7250  0.5083
La  0.2281  0.0541  0.8442
Ir  0.9330  0.5670  0.2500
Ir  0.0670  0.4330  0.7500
Ru  0.0000  0.0000  0.0000
Ru  0.5000  0.5000  0.5000

***

Here is a relaxed structure of Na3CdN from Alexandria. Energies are from PBE.

Its space group is Pm-3m, No. 221. The energy relative to the lowest polymorph listed for this composition comes out at 1.016 eV per atom. The uncorrected formation energy is 1.239 eV/atom. The calculation puts the volume at 33.783 A^3/atom. The value obtained for the raw total energy is -1.400 eV per atom.

Lattice parameters (Å, degrees): 5.5278 5.5278 5.5278 90.00 90.00 90.00
Fractional coordinates of all 5 atoms:
Na  0.0000  0.5000  0.0000
Na  0.0000  0.0000  0.5000
Na  0.5000  0.0000  0.0000
N  0.5000  0.5000  0.5000
Cd  0.0000  0.0000  0.0000

***

| no. | DOS at the Fermi energy (states/eV/cell) |
| --- | --- |
| 1 | 14.83 |
| 2 | 2.48 |